(1)
! Th2ScCr2N6 (PBE, optimized geometry); values from VASP
! Uncorrected energy: -9.14 eV per atom
! Formation energy from raw total energies: -0.92 eV/atom
! Symmetry: No. 166
&SYSTEM
  ibrav = 0, nat = 11, ntyp = 4
/
ATOMIC_SPECIES
Th 232.04 Th.upf
Sc 44.96 Sc.upf
Cr 52.00 Cr.upf
N 14.01 N.upf
ATOMIC_POSITIONS crystal
Th 0.213 0.213 0.213
Th 0.787 0.787 0.787
Sc 0.000 0.000 0.000
Cr 0.397 0.397 0.397
Cr 0.603 0.603 0.603
N 0.228 0.742 0.742
N 0.258 0.258 0.772
N 0.258 0.772 0.258
N 0.742 0.228 0.742
N 0.742 0.742 0.228
N 0.772 0.258 0.258
CELL_PARAMETERS angstrom
2.727 1.575 5.831
-2.727 1.575 5.831
0.000 -3.149 5.831


(2)
! Sc2ZnCrN (PBE, optimized geometry); values from VASP
! Uncorrected energy: -7.12 eV per atom
! Formation energy from raw total energies: -0.74 eV/atom
! Symmetry: No. 123
&SYSTEM
  ibrav = 0, nat = 5, ntyp = 4
/
ATOMIC_SPECIES
Sc 44.96 Sc.upf
Zn 65.41 Zn.upf
Cr 52.00 Cr.upf
N 14.01 N.upf
ATOMIC_POSITIONS crystal
Sc 0.000 0.500 0.000
Sc 0.500 0.000 0.000
Zn 0.000 0.000 0.500
Cr 0.500 0.500 0.500
N 0.500 0.500 0.000
CELL_PARAMETERS angstrom
4.472 0.000 0.000
0.000 4.472 0.000
0.000 0.000 3.763


(3)
! Cr2SeN (PBE, optimized geometry); values from VASP
! Excess energy over the best structure of this formula in the dataset: 760 meV/atom
! Uncorrected energy: -7.25 eV per atom
! Formation energy from raw total energies: 0.52 eV/atom
! Symmetry: No. 225
&SYSTEM
  ibrav = 0, nat = 4, ntyp = 3
/
ATOMIC_SPECIES
Cr 52.00 Cr.upf
Se 78.96 Se.upf
N 14.01 N.upf
ATOMIC_POSITIONS crystal
Cr 0.250 0.250 0.250
Cr 0.750 0.750 0.750
Se 0.000 0.000 0.000
N 0.500 0.500 0.500
CELL_PARAMETERS angstrom
0.000 2.843 2.843
2.843 0.000 2.843
2.843 2.843 0.000


Question: Among the records above, which one has the highest formation energy from raw total energies?
Answer: Cr2SeN


Question: Which formula does entry 1 have?
Answer: Th2ScCr2N6